[1]
A plane-wave DFT calculation with PBE was carried out for Co2SiTe after structural relaxation.

Results
Its space group is F-43m, No. 216. For the density of states at the Fermi level, the calculation gives 1.449 states/eV/atom. Its energy relative to the elements, uncorrected is 2.657 eV per formula unit. The calculation puts the offset from the most stable computed form at 68.28 kJ per mole of atoms. The value obtained for the density is 7.6 g/cm3.

Cell and atoms, written as POSCAR:
```
Co2SiTe
1.0
-3.4472 1.7945 -2.0531
-3.9931 -1.7830 0.4412
-3.0955 2.0887 2.3182
Te Si Co
1 1 2
Cartesian
-7.9019 1.5751 0.5298 Te
-5.2679 1.0501 0.3532 Si
0.0000 0.0000 0.0000 Co
-2.6340 0.5250 0.1766 Co
```

=====

[2]
A plane-wave DFT calculation with PBE was carried out for CeCu6O12 after structural relaxation.

Results
Its space group is Im-3, No. 204. For the density of states at the Fermi level, the calculation gives 0.829 states/eV/atom. Its energy relative to the elements, uncorrected is -6.045 eV per formula unit. The value obtained for the density is 5.7 g/cm3.

Cell and atoms, written as POSCAR:
```
CeCu6O12
1.0
-6.1636 1.6923 0.9855
1.8067 1.8025 -5.9423
0.5939 -6.4137 0.5812
Cu O Ce
6 12 1
Cartesian
-0.6697 -3.8907 -2.1546 Cu
0.4846 -1.7315 -3.4948 Cu
-3.0934 0.9719 -2.2211 Cu
-4.2476 -1.1873 -0.8808 Cu
-1.3725 0.1993 -4.2783 Cu
-2.3905 -3.1181 -0.0973 Cu
-1.2871 -1.8910 -4.1510 O
-4.3921 -2.6521 0.3143 O
0.6291 -0.2667 -4.6900 O
-1.1928 -4.5804 -0.2458 O
-3.7205 -0.7030 -2.8507 O
0.7834 -3.8022 -3.3694 O
-2.5702 1.6616 -4.1299 O
-2.6917 -3.3780 -1.9511 O
-4.5464 0.8834 -1.0063 O
-1.0713 0.4592 -2.4245 O
-2.4759 -1.0278 -0.2247 O
-0.0425 -2.2158 -1.5249 O
0.0000 0.0000 0.0000 Ce
```

=====

[3]
A plane-wave DFT calculation with PBE was carried out for TaBeRh after structural relaxation.

Results
Its space group is P-6m2, No. 187. For the formation energy, the calculation gives -8.33 kcal/mol of atoms. For the density of states at the Fermi level, the calculation gives 0.659 states/eV/atom. The calculation puts the offset from the most stable computed form at 15.53 kJ per mole of atoms. The value obtained for the density is 11.7 g/cm3.

Cell and atoms, written as POSCAR:
```
TaBeRh
1.0
4.1213 0.0000 0.0000
-2.0606 3.5691 0.0000
0.0000 0.0000 2.8179
Rh Ta Be
1 1 1
Cartesian
2.0606 1.1897 0.4707 Rh
0.0000 2.3794 1.8782 Ta
0.0000 0.0000 0.4691 Be
```

=====

[4]
A plane-wave DFT calculation with PBE was carried out for FeBS2Cl after structural relaxation.

Results
Its space group is P4/mmm, No. 123. For the density of states at the Fermi level, the calculation gives 0.946 states/eV/atom. Its energy relative to the elements, uncorrected is 3.791 eV per formula unit. The calculation puts the offset from the most stable computed form at 0.00 kJ per mole of atoms. The value obtained for the density is 3.6 g/cm3.

Cell and atoms, written as POSCAR:
```
FeBS2Cl
1.0
-1.9137 3.6345 -0.8510
-3.4945 -1.4082 1.8443
1.3613 1.6082 3.8073
S Cl B Fe
2 1 1 1
Cartesian
-0.9568 1.8173 -0.4255 S
-1.7473 -0.7041 0.9221 S
0.6806 0.8041 1.9036 Cl
0.0000 0.0000 0.0000 B
-2.0235 1.9172 2.4003 Fe
```

=====

[5]
A plane-wave DFT calculation with PBE was carried out for Dy4IrS3 after structural relaxation.

Results
Its space group is Cmmm, No. 65. For the density of states at the Fermi level, the calculation gives 0.733 states/eV/atom. Its energy relative to the elements, uncorrected is -13.262 eV per formula unit. The value obtained for the density is 8.8 g/cm3.

Cell and atoms, written as POSCAR:
```
Dy4IrS3
1.0
-2.9124 -2.0751 -1.5903
2.1929 1.7761 -6.3336
3.1509 -5.8774 1.8987
Dy S Ir
4 3 1
Cartesian
1.2833 -0.9849 -1.0650 Dy
4.0605 -3.1164 -3.3699 Dy
0.9718 -1.1397 -5.1085 Dy
1.4596 -5.0367 -0.9167 Dy
1.5755 -2.9387 0.9493 S
1.0964 0.8880 -3.1668 S
1.2157 -3.0882 -3.0126 S
-1.4562 -1.0375 -0.7951 Ir
```

=====

[6]
A plane-wave DFT calculation with PBE was carried out for SrNpHgO6 after structural relaxation.

Results
Its space group is P-31c, No. 163. For the density of states at the Fermi level, the calculation gives 0.677 states/eV/atom. Its energy relative to the elements, uncorrected is -17.108 eV per formula unit. The value obtained for the density is 6.8 g/cm3.

Cell and atoms, written as POSCAR:
```
SrNpHgO6
1.0
5.6920 0.0000 0.0000
-2.8460 4.9294 0.0000
0.0000 0.0000 10.8064
O Np Hg Sr
12 2 2 2
Cartesian
0.8337 1.8682 9.2837 O
1.2010 1.6561 3.8805 O
3.6797 3.0612 3.8805 O
-0.8112 4.7173 6.9260 O
4.4909 1.6561 1.5228 O
3.6572 0.2121 3.8805 O
2.0347 0.2121 1.5228 O
1.6449 3.2733 6.9260 O
-0.8337 1.8682 6.9260 O
2.0123 3.0612 1.5228 O
-1.6449 3.2733 9.2837 O
0.8112 4.7173 9.2837 O
2.8460 1.6431 2.7016 Np
0.0000 3.2863 8.1048 Np
2.8460 1.6431 8.1048 Hg
0.0000 3.2863 2.7016 Hg
0.0000 0.0000 5.4032 Sr
0.0000 0.0000 0.0000 Sr
```

=====

[7]
A plane-wave DFT calculation with PBE was carried out for LiLa2In after structural relaxation.

Results
Its space group is Pmm2, No. 25. For the formation energy, the calculation gives -3.04 kcal/mol of atoms. For the density of states at the Fermi level, the calculation gives 0.767 states/eV/atom. The value obtained for the density is 5.7 g/cm3.

Cell and atoms, written as POSCAR:
```
LiLa2In
1.0
-2.9697 0.2783 -1.9433
-2.5925 0.1090 3.9773
0.5377 6.8696 0.1622
La Li In
2 1 1
Cartesian
-2.6457 1.9240 1.0578 La
0.5301 6.7736 0.1599 La
0.2804 3.5825 0.0846 Li
-2.3829 5.2812 1.1371 In
```

=====

[8]
A plane-wave DFT calculation with PBE was carried out for UPdS2 after structural relaxation.

Results
Its space group is Pnma, No. 62. For the density of states at the Fermi level, the calculation gives 1.153 states/eV/atom. Its energy relative to the elements, uncorrected is -4.077 eV per formula unit. The calculation puts the offset from the most stable computed form at 0.00 kJ per mole of atoms. The value obtained for the density is 8.3 g/cm3.

Cell and atoms, written as POSCAR:
```
UPdS2
1.0
-1.1053 2.0724 3.2874
2.6971 -3.4419 3.0766
12.3529 8.5656 -1.2466
Pd S U
4 8 4
Cartesian
10.9516 7.1088 0.4421 Pd
2.9931 0.0873 4.6754 Pd
4.3577 3.6896 2.8633 Pd
9.5870 3.5065 2.2542 Pd
11.8413 4.8053 2.1933 S
4.9790 1.7287 4.3084 S
8.9657 5.4674 0.8091 S
11.5731 8.7994 2.0680 S
5.9223 3.5148 1.0168 S
8.0224 3.6813 4.1007 S
2.1034 2.3908 2.9242 S
2.3716 -1.6033 3.0495 S
1.3271 0.3172 1.4876 U
6.9664 5.6164 2.5257 U
12.6176 6.8789 3.6298 U
6.9783 1.5797 2.5918 U
```

=====

[9]
A plane-wave DFT calculation with PBE was carried out for LiPuAl2 after structural relaxation.

Results
Its space group is P4/mmm, No. 123. For the formation energy, the calculation gives -3.72 kcal/mol of atoms. For the density of states at the Fermi level, the calculation gives 1.063 states/eV/atom. The calculation puts the offset from the most stable computed form at 0.00 kJ per mole of atoms. The value obtained for the density is 6.8 g/cm3.

Cell and atoms, written as POSCAR:
```
LiPuAl2
1.0
-2.8869 0.9166 -0.6538
-1.0507 -2.8398 0.6584
-1.0081 2.0815 7.3689
Pu Li Al
1 1 2
Cartesian
-2.4729 0.0791 3.6867 Pu
-1.9688 -0.9616 0.0023 Li
-0.7994 1.6505 5.8431 Al
-0.2087 0.4310 1.5257 Al
```

=====

[10]
A plane-wave DFT calculation with PBE was carried out for SrSc after structural relaxation.

Results
Its space group is I4/mmm, No. 139. For the formation energy, the calculation gives 10.12 kcal/mol of atoms. For the density of states at the Fermi level, the calculation gives 1.779 states/eV/atom. The calculation puts the offset from the most stable computed form at 23.60 kJ per mole of atoms. The value obtained for the density is 2.9 g/cm3.

Cell and atoms, written as POSCAR:
```
SrSc
1.0
-6.1507 -6.4764 4.5970
7.7644 -6.1263 1.7577
0.9955 2.7590 5.2190
Sc Sr
8 8
Cartesian
0.2539 -1.9826 0.9997 Sc
1.5585 -6.9045 6.7865 Sc
5.5753 -6.1814 2.2043 Sc
-3.9615 -6.4213 4.1503 Sc
1.3599 -10.6200 5.3550 Sc
-0.8845 -4.9769 6.2335 Sc
3.4937 -4.8667 5.3401 Sc
1.0508 -2.9392 4.7871 Sc
3.0613 -8.0801 3.6877 Sr
-3.8671 -3.2165 5.8718 Sr
2.5927 -4.4209 1.8426 Sr
-1.2881 -0.5009 3.9442 Sr
2.7521 -0.3992 3.1198 Sr
-1.4475 -4.5226 2.6670 Sr
6.0078 -2.9680 3.8568 Sr
-0.9789 -8.1817 4.5121 Sr
```

=====

[11]
A plane-wave DFT calculation with PBE was carried out for CeZnTeO6 after structural relaxation.

Results
Its space group is P-31c, No. 163. For the density of states at the Fermi level, the calculation gives 0.000 states/eV/atom. Its energy relative to the elements, uncorrected is -15.366 eV per formula unit. The value obtained for the density is 6.0 g/cm3.

Cell and atoms, written as POSCAR:
```
CeZnTeO6
1.0
-0.0655 -0.9193 -5.4861
4.2097 -1.9156 3.0912
-4.3905 -7.5284 1.3139
Te O Ce Zn
2 12 2 2
Cartesian
0.2619 -3.1335 -2.2985 Te
-0.5082 -7.2298 1.2175 Te
0.1609 -8.9795 0.6264 O
-1.4967 -3.5027 -3.0921 O
1.2505 -6.8606 2.0111 O
-0.2953 -3.7545 -0.5201 O
-2.3079 -7.5612 0.5032 O
-0.9815 -7.8985 3.0030 O
-1.2204 -5.4700 1.7225 O
-0.4072 -1.3837 -1.7073 O
0.7352 -2.4648 -4.0840 O
0.9741 -4.8933 -2.8035 O
0.0490 -6.6088 -0.5609 O
2.0616 -2.8021 -1.5842 O
-1.9333 -6.8977 -1.6416 Ce
1.6870 -3.4656 0.5606 Ce
0.0000 0.0000 0.0000 Zn
-2.1953 -3.7642 0.6570 Zn
```

=====

[12]
A plane-wave DFT calculation with PBE was carried out for TaVCo after structural relaxation.

Results
Its space group is Imma, No. 74. For the formation energy, the calculation gives -5.17 kcal/mol of atoms. For the density of states at the Fermi level, the calculation gives 1.291 states/eV/atom. The calculation puts the offset from the most stable computed form at 0.66 kJ per mole of atoms. The value obtained for the density is 11.6 g/cm3.

Cell and atoms, written as POSCAR:
```
TaVCo
1.0
4.3518 0.0000 2.4434
1.5268 4.0001 2.3777
0.1138 0.1363 4.8943
V Ta Co
2 2 2
Cartesian
2.2328 0.0681 3.6689 V
2.9393 2.0001 2.4106 V
4.4175 1.5597 4.8749 Ta
1.5750 2.5768 4.8405 Ta
0.0000 0.0000 0.0000 Co
2.1759 0.0000 1.2217 Co
```

=====

| no. | magnetization (Bohr magnetons per cell) |
| --- | --- |
| 1 | 2.0 |
| 2 | 7.7 |
| 3 | 0.0 |
| 4 | 4.1 |
| 5 | 0.0 |
| 6 | 2.1 |
| 7 | 0.0 |
| 8 | 8.0 |
| 9 | 5.6 |
| 10 | 3.8 |
| 11 | 0.0 |
| 12 | 0.0 |